An optimized crystal structure of Sm5Tm2Cd. Source: Alexandria via LeMat-Bulk, functional PBE.

Cell lengths 8.161, 8.160, 6.894 Å; angles 126.33, 126.32, 89.95 degrees
Positions (direct):
Sm 0.696 0.241 0.937
Cd 0.200 0.200 0.401
Sm 0.778 0.778 0.556
Tm 0.713 0.213 0.426
Sm 0.696 0.696 0.936
Tm 0.213 0.713 0.426
Sm 0.240 0.240 0.936
Sm 0.241 0.696 0.937

Uncorrected energy ... -33.51 eV per cell
N(E_F) ... 1.0664 states/eV/atom
Energy relative to the elements ... -5 kJ/mol of formula units
Size of the total moment ... 0.00 μB per formula unit